First-principles (PBE) data for a relaxed structure of LiBC2, as listed in Alexandria.

Cell lengths 3.5570, 3.5570, 5.7835 Å; angles 72.09, 72.09, 90.00 degrees
Last column: nearest neighbours and their distance in Å.
Atoms (fractional coordinates):
1 C 0.8750 0.6250 0.2500  2 B 1.58
2 C 0.8750 0.1250 0.7500  2 B 1.58
3 C 0.8750 0.1250 0.2500  2 B 1.58
4 C 0.3750 0.1250 0.7500  2 B 1.58
5 Li 0.5000 0.5000 0.0000  8 C 2.38, 4 B 2.52
6 Li 0.2500 0.7500 0.5000  8 C 2.38, 4 B 2.52
7 B 0.0000 0.0000 0.0000  4 C 1.58
8 B 0.7500 0.2500 0.5000  4 C 1.58

Magnetization, μB per cell: 0.00
DOS(E_F), states/eV per cell: 1.5
Total DFT energy (no corrections), eV/atom: -6.095
SG: I4_1/amd


First-principles (PBE) data for a relaxed structure of LiB6C6, as listed in Alexandria.

Cell lengths 8.4651, 8.4651, 8.4651 Å; angles 31.89, 31.89, 31.89 degrees
Last column: nearest neighbours and their distance in Å.
Atoms (fractional coordinates):
1 B 0.5789 0.9140 0.2490  3 C 1.55
2 B 0.9140 0.2490 0.5789  3 C 1.55
3 B 0.2490 0.5789 0.9140  3 C 1.55
4 B 0.0877 0.7527 0.4177  3 C 1.55
5 B 0.7527 0.4177 0.0877  3 C 1.55
6 B 0.4177 0.0877 0.7527  3 C 1.55
7 C 0.9131 0.5810 0.2453  3 B 1.55
8 C 0.7536 0.0857 0.4214  3 B 1.55
9 C 0.5810 0.2453 0.9131  3 B 1.55
10 C 0.0857 0.4214 0.7536  3 B 1.55
11 C 0.4214 0.7536 0.0857  3 B 1.55
12 C 0.2453 0.9131 0.5810  3 B 1.55
13 Li 0.8333 0.8333 0.8333  6 C 2.47, 6 B 2.49

Magnetization, μB per cell: 0.00
DOS(E_F), states/eV per cell: 7.3
Total DFT energy (no corrections), eV/atom: -7.123
SG: R-3


First-principles (PBE) data for a relaxed structure of LiB3C3, as listed in Alexandria.

Cell lengths 6.8256, 6.8256, 6.6005 Å; angles 86.05, 93.95, 156.93 degrees
Last column: nearest neighbours and their distance in Å.
Atoms (fractional coordinates):
1 B 0.4312 0.5688 0.1493  3 C 1.53-1.59
2 B 0.5729 0.4271 0.7465  3 C 1.56-1.57
3 B 0.2355 0.7645 0.8507  3 C 1.53-1.59
4 B 0.9114 0.0886 0.8355  3 C 1.56-1.71
5 B 0.7553 0.2447 0.1645  3 C 1.56-1.71
6 B 0.0938 0.9062 0.2535  3 C 1.56-1.57
7 C 0.4583 0.5417 0.7773  3 B 1.56
8 C 0.8754 0.1246 0.0900  1 C 1.58, 3 B 1.59-1.71
9 C 0.7912 0.2088 0.9100  1 C 1.58, 3 B 1.59-1.71
10 C 0.2083 0.7917 0.2227  3 B 1.56
11 C 0.1307 0.8693 0.7423  3 B 1.53-1.57
12 C 0.5360 0.4640 0.2577  3 B 1.53-1.57
13 Li 0.6850 0.3150 0.4964  5 C 2.28-2.45, 4 B 2.31-2.44
14 Li 0.9817 0.0183 0.5036  5 C 2.28-2.45, 4 B 2.31-2.44

Magnetization, μB per cell: 0.00
DOS(E_F), states/eV per cell: 1.6
Total DFT energy (no corrections), eV/atom: -7.037
SG: C2/m